Here is a relaxed structure of ZnGa2Ag5 from Alexandria via LeMat-Bulk. Energies are from PBE.

a = 7.5406 Å, b = 7.5406 Å, c = 7.5406 Å
α = 156.77°, β = 121.99°, γ = 63.34°
Closest atoms and distances in Å follow each position.
Sites, in units of the cell vectors:
Zn1 0.0000 0.0000 0.0000  8 Ag 2.73, 2 Zn 3.04
Ga1 0.2875 0.7875 0.5000  7 Ag 2.66-2.79
Ga2 0.7125 0.2125 0.5000  7 Ag 2.66-2.79
Ag1 0.0983 0.3768 0.7215  3 Ga 2.66-2.79, 2 Zn 2.73
Ag2 0.3446 0.6232 0.7215  3 Ga 2.66-2.79, 2 Zn 2.73
Ag3 0.5000 0.0000 0.5000  2 Ga 2.73, 10 Ag 2.99-3.04
Ag4 0.6554 0.3768 0.2785  3 Ga 2.66-2.79, 2 Zn 2.73
Ag5 0.9017 0.6232 0.2785  3 Ga 2.66-2.79, 2 Zn 2.73

Polymorph energy (0 for the lowest one) in meV per atom: 22
Magnetization in μB per cell: 0.00
Crystal system: orthorhombic
Formation enthalpy at 0 K in eV/atom: 0.0281
ρ in g/cm3: 8.67
DOS at the Fermi energy in states/eV per atom: 0.29